A geometry-optimized SrTc2P structure. Source: the Alexandria database, functional GGA-PBE.

Calculated values
For the energy above the most stable polymorph in this dataset, the calculation gives 0.2343 eV per atom. The energy relative to the elements is -37.2 meV per atom. The calculation puts the electronic total energy at -6.993 eV per atom. The density of states at the Fermi level comes out at 1.06 states/eV per atom.

Unit cell a=3.461 b=3.979 c=6.035 alpha=90.00 beta=91.74 gamma=90.00
Space group Pm (No. 6)
Inequivalent atoms, fractional coordinates:
Sr: 0.000 0.000 0.000 (multiplicity 1)
Tc: 0.517 0.000 0.489 (multiplicity 1)
Tc: 0.966 0.500 0.468 (multiplicity 1)
P: 0.480 0.500 0.738 (multiplicity 1)